Computed, not measured: crystalline CsHfMo2O8 at its relaxed geometry at the GGA+U level of DFT.

Summary:
Calculated volume = 21.89 Å³/atom
E_tot = -7.48 eV per atom
Space group = No. 148

Lattice parameters (Å, degrees): 9.5813 9.5813 9.5813 35.33 35.33 35.33
Fractional coordinates of all 12 atoms:
Cs 0.0000 0.0000 0.0000
Hf 0.5000 0.5000 0.5000
Mo 0.2340 0.2340 0.2340
Mo 0.7660 0.7660 0.7660
O 0.1262 0.5609 0.6795
O 0.2996 0.2996 0.2996
O 0.3205 0.8738 0.4391
O 0.4391 0.3205 0.8738
O 0.5609 0.6795 0.1262
O 0.6795 0.1262 0.5609
O 0.7004 0.7004 0.7004
O 0.8738 0.4391 0.3205